Compound: ZnTcIr
Source: the Open Quantum Materials Database
Functional: PBE
Structure: relaxed

Properties
As for the energy above the most stable polymorph in this dataset: 0 meV per atom. The magnetic moment is 0.014 μB per cell. The formation energy comes out at 3.4 kcal/mol of atoms.

a = 4.148 Å, b = 4.148 Å, c = 4.148 Å
α = 60.00°, β = 60.00°, γ = 60.00°
Atoms (fractional coordinates):
Zn 0.000 0.000 0.000
Tc 0.500 0.500 0.500
Ir 0.750 0.750 0.750



Compound: ZnTc2Ir
Source: the Open Quantum Materials Database
Functional: PBE
Structure: relaxed

Properties
The magnetic moment is 0.698 μB per cell. The formation energy comes out at 2.7 kcal/mol of atoms.

a = 4.339 Å, b = 4.339 Å, c = 4.339 Å
α = 60.00°, β = 60.00°, γ = 60.00°
Atoms (fractional coordinates):
Zn 0.000 0.000 0.000
Tc 0.250 0.250 0.250
Tc 0.500 0.500 0.500
Ir 0.750 0.750 0.750



Compound: Zr2TcIr
Source: the Open Quantum Materials Database
Functional: PBE
Structure: relaxed

Properties
The magnetic moment is 0.032 μB per cell. The formation energy comes out at -5.3 kcal/mol of atoms.

a = 4.623 Å, b = 4.623 Å, c = 4.623 Å
α = 60.00°, β = 60.00°, γ = 60.00°
Atoms (fractional coordinates):
Zr 0.000 0.000 0.000
Zr 0.250 0.250 0.250
Tc 0.500 0.500 0.500
Ir 0.750 0.750 0.750



Compound: Zr2TcIr
Source: the Open Quantum Materials Database
Functional: PBE
Structure: relaxed

Properties
The magnetic moment is 0.001 μB per cell. The formation energy comes out at -16.1 kcal/mol of atoms.

a = 4.655 Å, b = 4.655 Å, c = 4.655 Å
α = 60.00°, β = 60.00°, γ = 60.00°
Atoms (fractional coordinates):
Zr 0.250 0.250 0.250
Zr 0.750 0.750 0.750
Tc 0.000 0.000 0.000
Ir 0.500 0.500 0.500



Compound: Zr2TcIr
Source: the Open Quantum Materials Database
Functional: PBE
Structure: relaxed

Properties
The magnetic moment is 0.002 μB per cell. The formation energy comes out at -16.1 kcal/mol of atoms.

a = 4.655 Å, b = 4.655 Å, c = 4.655 Å
α = 60.00°, β = 60.00°, γ = 60.00°
Atoms (fractional coordinates):
Zr 0.250 0.250 0.250
Zr 0.750 0.750 0.750
Tc 0.000 0.000 0.000
Ir 0.500 0.500 0.500



Compound: Zr2TcIr
Source: the Open Quantum Materials Database
Functional: PBE
Structure: relaxed

Properties
The magnetic moment is 0.002 μB per cell. The formation energy comes out at -12.3 kcal/mol of atoms.

a = 5.425 Å, b = 5.425 Å, c = 5.088 Å
α = 90.00°, β = 90.00°, γ = 78.79°
Atoms (fractional coordinates):
Zr 0.038 0.348 0.250
Zr 0.348 0.038 0.750
Zr 0.652 0.962 0.250
Zr 0.962 0.652 0.750
Tc 0.500 0.500 0.000
Tc 0.500 0.500 0.500
Ir 0.153 0.847 0.250
Ir 0.847 0.153 0.750



Compound: ZrTcIr
Source: the Open Quantum Materials Database
Functional: PBE
Structure: relaxed

Properties
As for the energy above the most stable polymorph in this dataset: 0 meV per atom. The magnetic moment is 0.012 μB per cell. The formation energy comes out at 1.8 kcal/mol of atoms.

a = 4.376 Å, b = 4.376 Å, c = 4.376 Å
α = 60.00°, β = 60.00°, γ = 60.00°
Atoms (fractional coordinates):
Zr 0.000 0.000 0.000
Tc 0.500 0.500 0.500
Ir 0.750 0.750 0.750



Compound: Te2Ir9
Source: the Open Quantum Materials Database
Functional: PBE
Structure: relaxed

Properties
The magnetic moment is 0.003 μB per cell. The value obtained for the electronic total energy is -82.1 eV/cell.

a = 2.835 Å, b = 2.835 Å, c = 30.036 Å
α = 90.00°, β = 90.00°, γ = 120.00°
Atoms (fractional coordinates):
Te 0.333 0.667 0.368
Te 0.667 0.333 0.632
Ir 0.000 0.000 0.000
Ir 0.000 0.000 0.218
Ir 0.000 0.000 0.782
Ir 0.333 0.667 0.146
Ir 0.333 0.667 0.709
Ir 0.333 0.667 0.927
Ir 0.667 0.333 0.073
Ir 0.667 0.333 0.291
Ir 0.667 0.333 0.854